Entry 1:
A plane-wave DFT calculation with PBE-GGA was carried out for a geometry-optimized Pm2Ho3Sc4 structure.

a = 15.998 Å, b = 11.182 Å, c = 5.830 Å
α = 90.00°, β = 97.15°, γ = 90.00°
Space group C2/c (No. 15)
Unique sites:
Pm  0.127  0.139  0.311 x8
Ho  0.000  0.112  0.750 x4
Ho  0.161  0.397  0.614 x8
Sc  0.045  0.370  0.027 x8
Sc  0.228  0.138  0.846 x8

Computed properties:
Crystal system   monoclinic
Energy relative to the elements   11 kJ per mole of atoms
Energy   -5.286 eV per atom
Total magnetization   0.00 μB per formula unit
Volume   28.74 Å³ per atom

***

Entry 2:
A plane-wave DFT calculation with PBE-GGA was carried out for a geometry-optimized POs2Pt structure.

a = 3.873 Å, b = 2.851 Å, c = 10.575 Å
α = 90.00°, β = 90.00°, γ = 90.00°
Space group Amm2 (No. 38)
Unique sites:
P  0.000  0.000  0.000 x2
Os  0.000  0.000  0.785 x2
Os  0.500  0.000  0.396 x2
Pt  0.500  0.000  0.141 x2

Computed properties:
Crystal system   orthorhombic
Energy relative to the elements   16 kJ per mole of atoms
Energy   -8.312 eV per atom
Total magnetization   0.00 μB per formula unit
Volume   14.60 Å³ per atom

***

Entry 3:
A plane-wave DFT calculation with PBE-GGA was carried out for a geometry-optimized Tm3MgSn structure.

a = 5.437 Å, b = 6.475 Å, c = 8.118 Å
α = 90.00°, β = 109.39°, γ = 90.00°
Space group P2_1/m (No. 11)
Unique sites:
Tm  0.098  0.250  0.193 x2
Tm  0.307  0.000  0.614 x4
Mg  0.495  0.250  0.984 x2
Sn  0.121  0.750  0.242 x2

Computed properties:
Crystal system   monoclinic
Energy relative to the elements   -24 kJ per mole of atoms
Energy   -4.053 eV per atom
Total magnetization   0.00 μB per formula unit
Volume   26.96 Å³ per atom

***

Entry 4:
A plane-wave DFT calculation with PBE-GGA was carried out for a geometry-optimized Ta2HgSe structure.

a = 3.288 Å, b = 5.022 Å, c = 9.123 Å
α = 90.00°, β = 90.00°, γ = 90.00°
Space group Immm (No. 71)
Unique sites:
Ta  0.000  0.000  0.229 x4
Hg  0.000  0.500  0.000 x2
Se  0.000  0.500  0.500 x2

Computed properties:
Crystal system   orthorhombic
Energy   -6.554 eV per atom
Total magnetization   0.00 μB per formula unit
Uncorrected formation energy   318 meV/atom
Volume   18.83 Å³ per atom